1.
## Y2CdSn (PBE)

Data for Y2CdSn after structural relaxation.

* space-group type: P2_1/m (11)
* uncorrected energy: -4.99 eV per atom
* M_tot: 0.000 μB/atom
* energy of formation: -0.531 eV per atom

Cell lengths 4.5193, 6.2020, 8.4401 Å; angles 110.40, 90.00, 90.00 degrees
Last column: nearest neighbours and their distance in Å.
Atoms (fractional coordinates):
Cd: 0.7500 0.6754 0.7941  2 Sn 2.99, 5 Y 3.14-3.17
Cd: 0.2500 0.3246 0.2059  2 Sn 2.99, 5 Y 3.14-3.17
Y: 0.7500 0.2086 0.4280  4 Sn 3.17-3.39, 3 Cd 3.17-3.42
Y: 0.2500 0.7914 0.5720  4 Sn 3.17-3.39, 3 Cd 3.17-3.42
Y: 0.2500 0.7853 0.0735  4 Cd 3.14-3.41, 3 Sn 3.17-3.35
Y: 0.7500 0.2147 0.9265  4 Cd 3.14-3.41, 3 Sn 3.17-3.35
Sn: 0.7500 0.6620 0.2916  2 Cd 2.99, 6 Y 3.17-3.35
Sn: 0.2500 0.3380 0.7084  2 Cd 2.99, 6 Y 3.17-3.35


2.
## AsPdI2N (PBE)

Data for AsPdI2N after structural relaxation.

* space-group type: P4/mmm (123)
* uncorrected formation energy: 4.4 eV/f.u.
* uncorrected energy: -3.37 eV per atom
* M_tot: 0.000 μB/atom

Cell lengths 5.6814, 5.6814, 3.7476 Å; angles 90.00, 90.00, 90.00 degrees
Last column: nearest neighbours and their distance in Å.
Atoms (fractional coordinates):
I: 0.5000 0.0000 0.0000  2 Pd 2.84
I: 0.0000 0.5000 0.0000  2 Pd 2.84
As: 0.5000 0.5000 0.5000  8 I 3.40, 2 As 3.75
N: 0.0000 0.0000 0.5000  2 Pd 1.87
Pd: 0.0000 0.0000 0.0000  2 N 1.87


- Which value of uncorrected energy does entry 1 give?
  -4.99 eV per atom


- What is the formula in the second record?
  AsPdI2N


Repeat the second record exactly.
## AsPdI2N (PBE)

Data for AsPdI2N after structural relaxation.

* space-group type: P4/mmm (123)
* uncorrected formation energy: 4.4 eV/f.u.
* uncorrected energy: -3.37 eV per atom
* M_tot: 0.000 μB/atom

Cell lengths 5.6814, 5.6814, 3.7476 Å; angles 90.00, 90.00, 90.00 degrees
Last column: nearest neighbours and their distance in Å.
Atoms (fractional coordinates):
I: 0.5000 0.0000 0.0000  2 Pd 2.84
I: 0.0000 0.5000 0.0000  2 Pd 2.84
As: 0.5000 0.5000 0.5000  8 I 3.40, 2 As 3.75
N: 0.0000 0.0000 0.5000  2 Pd 1.87
Pd: 0.0000 0.0000 0.0000  2 N 1.87


- Look up the uncorrected energy of the first one.
  -4.99 eV per atom